VASP calculation (PBE-GGA) on a relaxed CdIrNO2 crystal.

Calculated values
Theoretical density (g/cm³): 8.32
Uncorrected formation energy (meV per atom): 1739

Unit cell a=4.061 b=4.061 c=4.245 alpha=90.00 beta=90.00 gamma=90.00
Space group P4/mmm (No. 123)
One atom of each set of equivalent atoms:
1 Cd 0.000 0.000 0.000 (multiplicity 1)
2 Ir 0.500 0.500 0.500 (multiplicity 1)
3 N 0.000 0.000 0.500 (multiplicity 1)
4 O 0.000 0.500 0.000 (multiplicity 2)

VASP calculation (PBE-GGA) on a relaxed BaIrPd3 crystal.

Calculated values
Theoretical density (g/cm³): 8.67
Formation energy from the elements (eV/f.u.): 1.34
Offset from the most stable computed form (meV/atom): 0

Unit cell a=4.990 b=4.990 c=4.990 alpha=90.00 beta=90.00 gamma=90.00
Space group Pm-3m (No. 221)
One atom of each set of equivalent atoms:
1 Ba 0.000 0.000 0.000 (multiplicity 1)
2 Ir 0.500 0.500 0.500 (multiplicity 1)
3 Pd 0.000 0.500 0.500 (multiplicity 3)

VASP calculation (PBE-GGA) on a relaxed Na8BiAu2 crystal.

Calculated values
Theoretical density (g/cm³): 4.21
Formation energy from the elements (eV/f.u.): -2.76

Unit cell a=5.339 b=7.139 c=9.275 alpha=112.54 beta=106.67 gamma=90.15
Space group P1 (No. 1)
One atom of each set of equivalent atoms:
1 Na 0.000 0.000 0.000 (multiplicity 1)
2 Na 0.026 0.498 0.053 (multiplicity 1)
3 Na 0.227 0.377 0.448 (multiplicity 1)
4 Na 0.338 0.883 0.656 (multiplicity 1)
5 Na 0.437 0.588 0.867 (multiplicity 1)
6 Na 0.630 0.102 0.261 (multiplicity 1)
7 Na 0.658 0.656 0.313 (multiplicity 1)
8 Na 0.847 0.150 0.658 (multiplicity 1)
9 Bi 0.833 0.602 0.657 (multiplicity 1)
10 Au 0.161 0.919 0.326 (multiplicity 1)
11 Au 0.492 0.249 0.986 (multiplicity 1)

VASP calculation (PBE-GGA) on a relaxed CuAgRh crystal.

Calculated values
Theoretical density (g/cm³): 8.97
Formation energy from the elements (eV/f.u.): 1.62
Offset from the most stable computed form (meV/atom): 467

Unit cell a=5.879 b=5.879 c=5.879 alpha=90.00 beta=90.00 gamma=90.00
Space group F-43m (No. 216)
One atom of each set of equivalent atoms:
1 Cu 0.000 0.000 0.000 (multiplicity 4)
2 Ag 0.250 0.250 0.250 (multiplicity 4)
3 Rh 0.250 0.250 0.750 (multiplicity 4)

VASP calculation (PBE-GGA) on a relaxed RbOsW2 crystal.

Calculated values
Theoretical density (g/cm³): 15.26
Formation energy from the elements (eV/f.u.): 7.47
Offset from the most stable computed form (meV/atom): 0

Unit cell a=6.542 b=6.542 c=6.542 alpha=90.00 beta=90.00 gamma=90.00
Space group Fm-3m (No. 225)
One atom of each set of equivalent atoms:
1 Rb 0.000 0.000 0.000 (multiplicity 4)
2 Os 0.000 0.000 0.500 (multiplicity 4)
3 W 0.250 0.250 0.250 (multiplicity 8)

VASP calculation (PBE-GGA) on a relaxed ScPtPbO6 crystal.

Calculated values
Theoretical density (g/cm³): 7.84
Uncorrected formation energy (meV per atom): -1352

Unit cell a=5.3375 b=5.3375 c=9.3327 alpha=90.00 beta=90.00 gamma=120.00
Space group P-31c (No. 163)
One atom of each set of equivalent atoms:
1 Sc 0.3333 0.6667 0.2500 (multiplicity 2)
2 Pt 0.3333 0.6667 0.7500 (multiplicity 2)
3 Pb 0.0000 0.0000 0.0000 (multiplicity 2)
4 O 0.0137 0.3619 0.6310 (multiplicity 12)

VASP calculation (PBE-GGA) on a relaxed Tb6ErTh8 crystal.

Calculated values
Theoretical density (g/cm³): 10.17
Formation energy from the elements (eV/f.u.): 2.08

Unit cell a=8.8506 b=8.8506 c=21.4958 alpha=90.00 beta=90.00 gamma=120.00
Space group R-3 (No. 148, hexagonal axes)
One atom of each set of equivalent atoms:
1 Tb 0.0240 0.2453 0.2078 (multiplicity 18)
2 Er 0.0000 0.0000 0.5000 (multiplicity 3)
3 Th 0.0000 0.0000 0.0771 (multiplicity 6)
4 Th 0.0587 0.8041 0.6371 (multiplicity 18)

VASP calculation (PBE-GGA) on a relaxed MgMoRh2 crystal.

Calculated values
Theoretical density (g/cm³): 8.86
Formation energy from the elements (eV/f.u.): -0.20

Unit cell a=8.796 b=2.781 c=5.040 alpha=90.00 beta=97.73 gamma=90.00
Space group C2/m (No. 12)
One atom of each set of equivalent atoms:
1 Mg 0.000 0.000 0.000 (multiplicity 2)
2 Mo 0.000 0.500 0.500 (multiplicity 2)
3 Rh 0.250 0.000 0.743 (multiplicity 4)

VASP calculation (PBE-GGA) on a relaxed SmSi4 crystal.

Calculated values
Theoretical density (g/cm³): 2.92
Uncorrected formation energy (meV per atom): 1538

Unit cell a=5.305 b=5.305 c=5.305 alpha=90.00 beta=90.00 gamma=90.00
Space group Pm-3m (No. 221)
One atom of each set of equivalent atoms:
1 Sm 0.000 0.000 0.000 (multiplicity 1)
2 Si 0.000 0.000 0.500 (multiplicity 3)
3 Si 0.500 0.500 0.500 (multiplicity 1)

VASP calculation (PBE-GGA) on a relaxed TbTm2Al2Zn2 crystal.

Calculated values
Theoretical density (g/cm³): 7.24
Formation energy from the elements (eV/f.u.): -2.13

Unit cell a=4.5003 b=4.5003 c=26.7543 alpha=90.00 beta=90.00 gamma=120.00
Space group R-3m (No. 166, hexagonal axes)
One atom of each set of equivalent atoms:
1 Tb 0.0000 0.0000 0.0000 (multiplicity 3)
2 Tm 0.0000 0.0000 0.1282 (multiplicity 6)
3 Al 0.0000 0.0000 0.2615 (multiplicity 6)
4 Zn 0.0000 0.0000 0.4008 (multiplicity 6)

VASP calculation (PBE-GGA) on a relaxed Rb4Tb3HfTe8 crystal.

Calculated values
Theoretical density (g/cm³): 5.70
Uncorrected formation energy (meV per atom): -1241

Unit cell a=8.8964 b=8.8964 c=25.7409 alpha=90.00 beta=90.00 gamma=120.00
Space group R-3m (No. 166, hexagonal axes)
One atom of each set of equivalent atoms:
1 Rb 0.0000 0.0000 0.0000 (multiplicity 3)
2 Rb 0.0000 0.5000 0.0000 (multiplicity 9)
3 Tb 0.0000 0.5000 0.5000 (multiplicity 9)
4 Hf 0.0000 0.0000 0.5000 (multiplicity 3)
5 Te 0.0000 0.0000 0.2345 (multiplicity 6)
6 Te 0.0153 0.5077 0.2322 (multiplicity 18)

VASP calculation (PBE-GGA) on a relaxed SrPt2 crystal.

Calculated values
Theoretical density (g/cm³): 12.93
Formation energy from the elements (eV/f.u.): -1.27

Unit cell a=4.321 b=4.321 c=26.288 alpha=90.00 beta=90.00 gamma=90.00
Space group I4_1/amd (No. 141, origin choice 2)
One atom of each set of equivalent atoms:
1 Sr 0.000 0.250 0.297 (multiplicity 8)
2 Pt 0.000 0.250 0.124 (multiplicity 8)
3 Pt 0.000 0.250 0.798 (multiplicity 8)

The following total magnetic moment values (in μB per cell) correspond, in order, to the records above: 3.7 0.9 0.0 3.1 0.0 0.0 0.0 0.0 0.0 0.0 0.0 0.0.